Record 1
Entry from the Alexandria database: BaBr8 at its PBEsol-relaxed geometry (SCAN).

Summary:
ρ = 4.0 g/cm3
uncorrected formation energy = -334 meV per atom
spin magnetization = 0.0 μB/cell
crystal system = tetragonal

The structure in extended XYZ format:
```
9
Lattice="4.189 0.000 0.000 2.094 8.770 0.000 2.094 0.000 8.770" Properties=species:S:1:pos:R:3 pbc="T T T"
Br 2.094 0.000 2.731
Br 4.189 6.576 6.576
Ba 0.000 0.000 0.000
Br 4.189 6.040 0.000
Br 4.189 0.000 6.040
Br 2.094 2.731 0.000
Br 4.189 2.195 2.195
Br 2.094 6.576 2.195
Br 2.094 2.195 6.576
```

Record 2
Entry from the Alexandria database: BaC2Br at its PBEsol-relaxed geometry (SCAN).

Summary:
ρ = 5.3 g/cm3
uncorrected formation energy = 1931 meV per atom
spin magnetization = 0.0 μB/cell
crystal system = tetragonal

The structure in extended XYZ format:
```
8
Lattice="-2.898 -5.033 0.132 5.523 -0.692 1.663 -2.285 3.857 3.695" Properties=species:S:1:pos:R:3 pbc="T T T"
C -2.321 -1.803 3.616
Ba 0.000 0.000 0.000
Ba 2.122 -2.072 2.237
C -0.788 -2.680 0.911
Br 1.619 1.582 2.679
C 3.470 0.726 3.214
Br -1.782 0.203 3.253
C 0.319 0.020 3.240
```